An optimized crystal structure of YHoAsO, computed with PBE-GGA.

Unit cell a=4.335 b=4.335 c=8.751 alpha=90.00 beta=90.00 gamma=90.00
Positions (direct):
Y 0.250 0.250 0.101
Y 0.750 0.750 0.899
Ho 0.250 0.750 0.500
Ho 0.750 0.250 0.500
As 0.250 0.250 0.704
As 0.750 0.750 0.296
O 0.250 0.750 0.000
O 0.750 0.250 0.000

Calculated values
The value obtained for the density is 6.96 g cm⁻³. For the excess energy over the best structure of this formula in the dataset, the calculation gives 94 meV/atom. The space group is P4/nmm (129). As for the calculated volume: 20.6 Å³/atom.

***

An optimized crystal structure of YHoAsO, computed with PBE-GGA.

Unit cell a=4.131 b=7.690 c=5.821 alpha=90.00 beta=90.00 gamma=90.00
Positions (direct):
Y 0.000 0.117 0.000
Y 0.000 0.883 0.500
Ho 0.500 0.286 0.440
Ho 0.500 0.714 0.940
As 0.500 0.348 0.932
As 0.500 0.652 0.432
O 0.000 0.172 0.383
O 0.000 0.828 0.883

Calculated values
The value obtained for the density is 6.19 g cm⁻³. For the excess energy over the best structure of this formula in the dataset, the calculation gives 9 meV/atom. The space group is Pmc2_1 (26). As for the calculated volume: 23.1 Å³/atom.

***

An optimized crystal structure of YHoAsO, computed with PBE-GGA.

Unit cell a=4.172 b=7.584 c=5.884 alpha=90.00 beta=90.00 gamma=90.00
Positions (direct):
Y 0.000 0.212 0.000
Y 0.000 0.788 0.500
Ho 0.500 0.386 0.571
Ho 0.500 0.614 0.071
As 0.000 0.160 0.491
As 0.000 0.840 0.991
O 0.500 0.332 0.939
O 0.500 0.668 0.439

Calculated values
The value obtained for the density is 6.15 g cm⁻³. For the excess energy over the best structure of this formula in the dataset, the calculation gives 0 meV/atom. The space group is Pmc2_1 (26). As for the calculated volume: 23.3 Å³/atom.